No. 1
10
Lattice="6.923 0.000 0.000 0.000 6.923 0.000 0.000 0.000 2.828" Properties=species:S:1:pos:R:3 comment="Be2HgRu2, relaxed, DFT PBE" e_tot_ev_per_atom=-5.03 relative_energy_mev_per_atom=213 e_form_ev_per_atom=0.226 pbc="T T T"
Be 1.136 2.326 0.000
Be 2.326 5.787 0.000
Be 4.597 1.136 0.000
Be 5.787 4.597 0.000
Hg 0.000 0.000 1.414
Hg 3.461 3.461 1.414
Ru 0.880 4.342 1.414
Ru 2.581 0.880 1.414
Ru 4.342 6.043 1.414
Ru 6.043 2.581 1.414


No. 2
12
Lattice="4.974 0.000 0.000 0.000 6.761 0.000 -0.142 0.000 4.973" Properties=species:S:1:pos:R:3 comment="Tm2MgNpO8, relaxed, DFT PBE" e_form_raw_ev_per_atom=-2.809 e_tot_ev_per_atom=-8.07 pbc="T T T"
Tm 0.000 1.628 0.000
Tm 0.000 5.133 0.000
Mg 2.416 0.000 2.486
Np 2.416 3.380 2.486
O 0.995 0.000 1.034
O 0.997 3.380 1.041
O 1.474 1.846 3.413
O 1.474 4.915 3.413
O 3.358 1.846 1.560
O 3.358 4.915 1.560
O 3.837 0.000 3.939
O 3.835 3.380 3.932


No. 3
18
Lattice="8.180 -4.249 0.000 8.180 4.249 0.000 0.000 0.000 8.082" Properties=species:S:1:pos:R:3 comment="Pm2Dy5Sc2, relaxed, DFT PBE" e_tot_ev_per_atom=-4.79 relative_energy_mev_per_atom=186 e_form_ev_per_atom=0.226 pbc="T T T"
Pm 3.515 0.000 0.000
Pm 4.665 0.000 4.041
Pm 11.696 0.000 4.041
Pm 12.846 0.000 0.000
Dy 0.000 0.000 0.000
Dy 6.026 2.692 5.502
Dy 6.026 1.558 1.461
Dy 10.334 2.692 5.502
Dy 10.334 1.558 1.461
Dy 8.180 0.000 4.041
Dy 6.026 -1.558 6.621
Dy 6.026 -2.692 2.580
Dy 10.334 -1.558 6.621
Dy 10.334 -2.692 2.580
Sc 8.180 3.193 3.036
Sc 8.180 1.056 7.077
Sc 8.180 -1.056 1.005
Sc 8.180 -3.193 5.046